No. 1
Density functional theory data (PBE) for a relaxed YZr2CdPb crystal.

Computed properties:
D(E_F)   0.91 states/eV per atom
E_tot   -24.25 eV per cell
Crystal system   tetragonal
DFT formation energy   0.79 eV/atom
SG   P4/mmm (123)

```
data_YZr2CdPb
_cell_length_a 5.4341
_cell_length_b 5.4341
_cell_length_c 5.6368
_cell_angle_alpha 90.00
_cell_angle_beta 90.00
_cell_angle_gamma 90.00
_space_group_name_H-M_alt 'P 1'
_space_group_IT_number 1
_space_group_name_Hall 'P 1'
loop_
_atom_site_label
_atom_site_fract_x
_atom_site_fract_y
_atom_site_fract_z
Y1 0.0000 0.0000 0.0000
Zr1 0.0000 0.5000 0.5000
Zr2 0.5000 0.0000 0.5000
Cd1 0.5000 0.5000 0.0000
Pb1 0.0000 0.0000 0.5000
```



No. 2
Density functional theory data (PBE) for a relaxed MgCr2BRu crystal.

Computed properties:
D(E_F)   1.01 states/eV per atom
E_tot   -24.46 eV per cell
Polymorph energy (0 for the lowest one)   2204 meV/atom
Crystal system   tetragonal
DFT formation energy   2.47 eV/atom
SG   P4/mmm (123)

```
data_MgCr2BRu
_cell_length_a 4.6235
_cell_length_b 4.6235
_cell_length_c 4.4554
_cell_angle_alpha 90.00
_cell_angle_beta 90.00
_cell_angle_gamma 90.00
_space_group_name_H-M_alt 'P 1'
_space_group_IT_number 1
_space_group_name_Hall 'P 1'
loop_
_atom_site_label
_atom_site_fract_x
_atom_site_fract_y
_atom_site_fract_z
Mg1 0.0000 0.0000 0.0000
Cr1 0.0000 0.5000 0.0000
Cr2 0.5000 0.0000 0.0000
B1 0.5000 0.5000 0.5000
Ru1 0.0000 0.0000 0.5000
```



No. 3
Density functional theory data (PBE) for a relaxed Ba2CuTc crystal.

Computed properties:
D(E_F)   1.00 states/eV per atom
E_tot   -15.18 eV per cell
Polymorph energy (0 for the lowest one)   370 meV/atom
Crystal system   cubic
DFT formation energy   0.78 eV/atom
SG   Fm-3m (225)

```
data_Ba2CuTc
_cell_length_a 5.5732
_cell_length_b 5.5732
_cell_length_c 5.5732
_cell_angle_alpha 60.00
_cell_angle_beta 60.00
_cell_angle_gamma 60.00
_space_group_name_H-M_alt 'P 1'
_space_group_IT_number 1
_space_group_name_Hall 'P 1'
loop_
_atom_site_label
_atom_site_fract_x
_atom_site_fract_y
_atom_site_fract_z
Ba1 0.2500 0.2500 0.2500
Ba2 0.7500 0.7500 0.7500
Cu1 0.0000 0.0000 0.0000
Tc1 0.5000 0.5000 0.5000
```



No. 4
Density functional theory data (PBE) for a relaxed CuPd3F crystal.

Computed properties:
D(E_F)   1.24 states/eV per atom
E_tot   -17.89 eV per cell
Polymorph energy (0 for the lowest one)   357 meV/atom
Crystal system   cubic
SG   Pm-3m (221)

```
data_CuPd3F
_cell_length_a 4.6189
_cell_length_b 4.6189
_cell_length_c 4.6189
_cell_angle_alpha 90.00
_cell_angle_beta 90.00
_cell_angle_gamma 90.00
_space_group_name_H-M_alt 'P 1'
_space_group_IT_number 1
_space_group_name_Hall 'P 1'
loop_
_atom_site_label
_atom_site_fract_x
_atom_site_fract_y
_atom_site_fract_z
Cu1 0.0000 0.0000 0.0000
Pd1 0.0000 0.0000 0.5000
Pd2 0.0000 0.5000 0.0000
Pd3 0.5000 0.0000 0.0000
F1 0.5000 0.5000 0.5000
```



No. 5
Density functional theory data (PBE) for a relaxed Cr2HOsRu crystal.

Computed properties:
D(E_F)   1.13 states/eV per atom
E_tot   -42.53 eV per cell
Polymorph energy (0 for the lowest one)   34 meV/atom
Crystal system   tetragonal
SG   P4/mmm (123)

```
data_Cr2HOsRu
_cell_length_a 3.7977
_cell_length_b 3.7977
_cell_length_c 3.7589
_cell_angle_alpha 90.00
_cell_angle_beta 90.00
_cell_angle_gamma 90.00
_space_group_name_H-M_alt 'P 1'
_space_group_IT_number 1
_space_group_name_Hall 'P 1'
loop_
_atom_site_label
_atom_site_fract_x
_atom_site_fract_y
_atom_site_fract_z
Cr1 0.0000 0.5000 0.0000
Cr2 0.5000 0.0000 0.0000
H1 0.0000 0.0000 0.0000
Os1 0.0000 0.0000 0.5000
Ru1 0.5000 0.5000 0.5000
```



No. 6
Density functional theory data (PBE) for a relaxed Rb3Th3VSe8 crystal.

Computed properties:
D(E_F)   0.38 states/eV per atom
E_tot   -83.53 eV per cell
Crystal system   trigonal
SG   R-3m (166)

```
data_Rb3Th3VSe8
_cell_length_a 9.5899
_cell_length_b 9.5899
_cell_length_c 9.5899
_cell_angle_alpha 51.71
_cell_angle_beta 51.71
_cell_angle_gamma 51.71
_space_group_name_H-M_alt 'P 1'
_space_group_IT_number 1
_space_group_name_Hall 'P 1'
loop_
_atom_site_label
_atom_site_fract_x
_atom_site_fract_y
_atom_site_fract_z
Rb1 0.0000 0.5000 0.5000
Rb2 0.5000 0.0000 0.5000
Rb3 0.5000 0.5000 0.0000
Th1 0.0000 0.0000 0.5000
Th2 0.0000 0.5000 0.0000
Th3 0.5000 0.0000 0.0000
V1 0.5000 0.5000 0.5000
Se1 0.2365 0.2365 0.2365
Se2 0.2486 0.7196 0.7196
Se3 0.2804 0.2804 0.7514
Se4 0.2804 0.7514 0.2804
Se5 0.7196 0.2486 0.7196
Se6 0.7196 0.7196 0.2486
Se7 0.7514 0.2804 0.2804
Se8 0.7635 0.7635 0.7635
```



No. 7
Density functional theory data (PBE) for a relaxed HRhBr2O crystal.

Computed properties:
D(E_F)   0.94 states/eV per atom
E_tot   -15.20 eV per cell
Crystal system   tetragonal
SG   P4/mmm (123)

```
data_HRhBr2O
_cell_length_a 5.9692
_cell_length_b 5.9692
_cell_length_c 3.5336
_cell_angle_alpha 90.00
_cell_angle_beta 90.00
_cell_angle_gamma 90.00
_space_group_name_H-M_alt 'P 1'
_space_group_IT_number 1
_space_group_name_Hall 'P 1'
loop_
_atom_site_label
_atom_site_fract_x
_atom_site_fract_y
_atom_site_fract_z
H1 0.0000 0.0000 0.0000
Rh1 0.5000 0.5000 0.0000
Br1 0.0000 0.5000 0.5000
Br2 0.5000 0.0000 0.5000
O1 0.5000 0.5000 0.5000
```



No. 8
Density functional theory data (PBE) for a relaxed CsGeSe2 crystal.

Computed properties:
D(E_F)   0.45 states/eV per atom
E_tot   -29.60 eV per cell
Crystal system   tetragonal
SG   I4/mcm (140)

```
data_CsGeSe2
_cell_length_a 7.0915
_cell_length_b 7.0915
_cell_length_c 7.0915
_cell_angle_alpha 103.91
_cell_angle_beta 103.91
_cell_angle_gamma 121.28
_space_group_name_H-M_alt 'P 1'
_space_group_IT_number 1
_space_group_name_Hall 'P 1'
loop_
_atom_site_label
_atom_site_fract_x
_atom_site_fract_y
_atom_site_fract_z
Cs1 0.2500 0.2500 0.0000
Cs2 0.7500 0.7500 0.0000
Ge1 0.2500 0.7500 0.5000
Ge2 0.7500 0.2500 0.5000
Se1 0.1563 0.6563 0.8127
Se2 0.3437 0.1563 0.5000
Se3 0.6563 0.8437 0.5000
Se4 0.8437 0.3437 0.1873
```



No. 9
Density functional theory data (PBE) for a relaxed LaAsSe2N crystal.

Computed properties:
D(E_F)   0.75 states/eV per atom
E_tot   -25.79 eV per cell
Polymorph energy (0 for the lowest one)   120 meV/atom
Crystal system   tetragonal
SG   P4/mmm (123)

```
data_LaAsSe2N
_cell_length_a 4.7127
_cell_length_b 4.7127
_cell_length_c 4.3903
_cell_angle_alpha 90.00
_cell_angle_beta 90.00
_cell_angle_gamma 90.00
_space_group_name_H-M_alt 'P 1'
_space_group_IT_number 1
_space_group_name_Hall 'P 1'
loop_
_atom_site_label
_atom_site_fract_x
_atom_site_fract_y
_atom_site_fract_z
La1 0.0000 0.0000 0.0000
As1 0.5000 0.5000 0.0000
Se1 0.0000 0.5000 0.5000
Se2 0.5000 0.0000 0.5000
N1 0.5000 0.5000 0.5000
```



No. 10
Density functional theory data (PBE) for a relaxed LaPuHgPb crystal.

Computed properties:
D(E_F)   2.91 states/eV per atom
E_tot   -24.52 eV per cell
Polymorph energy (0 for the lowest one)   14 meV/atom
Crystal system   tetragonal
DFT formation energy   -0.31 eV/atom
SG   P4mm (99)

```
data_LaPuHgPb
_cell_length_a 3.5947
_cell_length_b 3.5947
_cell_length_c 8.9167
_cell_angle_alpha 90.00
_cell_angle_beta 90.00
_cell_angle_gamma 90.00
_space_group_name_H-M_alt 'P 1'
_space_group_IT_number 1
_space_group_name_Hall 'P 1'
loop_
_atom_site_label
_atom_site_fract_x
_atom_site_fract_y
_atom_site_fract_z
La1 0.0000 0.0000 0.0000
Pu1 0.0000 0.0000 0.5162
Hg1 0.5000 0.5000 0.7520
Pb1 0.5000 0.5000 0.2648
```



No. 11
Density functional theory data (PBE) for a relaxed OsRu2S crystal.

Computed properties:
D(E_F)   0.29 states/eV per atom
E_tot   -32.49 eV per cell
Crystal system   orthorhombic
SG   Imm2 (44)

```
data_OsRu2S
_cell_length_a 4.5774
_cell_length_b 4.5774
_cell_length_c 4.5774
_cell_angle_alpha 134.53
_cell_angle_beta 77.61
_cell_angle_gamma 120.88
_space_group_name_H-M_alt 'P 1'
_space_group_IT_number 1
_space_group_name_Hall 'P 1'
loop_
_atom_site_label
_atom_site_fract_x
_atom_site_fract_y
_atom_site_fract_z
Os1 0.0000 0.0000 0.0000
Ru1 0.3203 0.5202 0.8002
Ru2 0.7200 0.5202 0.1998
S1 0.3237 0.8237 0.5000
```



No. 12
Density functional theory data (PBE) for a relaxed ReSnSe3 crystal.

Computed properties:
D(E_F)   1.53 states/eV per atom
E_tot   -25.18 eV per cell
Polymorph energy (0 for the lowest one)   0 meV/atom
Crystal system   cubic
SG   Pm-3m (221)

```
data_ReSnSe3
_cell_length_a 4.9428
_cell_length_b 4.9428
_cell_length_c 4.9428
_cell_angle_alpha 90.00
_cell_angle_beta 90.00
_cell_angle_gamma 90.00
_space_group_name_H-M_alt 'P 1'
_space_group_IT_number 1
_space_group_name_Hall 'P 1'
loop_
_atom_site_label
_atom_site_fract_x
_atom_site_fract_y
_atom_site_fract_z
Re1 0.0000 0.0000 0.0000
Sn1 0.5000 0.5000 0.5000
Se1 0.0000 0.0000 0.5000
Se2 0.0000 0.5000 0.0000
Se3 0.5000 0.0000 0.0000
```